No. 1
PBE-GGA TcSb2As, optimized geometry; excess energy over the best structure of this formula in the dataset = 10.3 kJ/mol of atoms; total moment = 0.00 μB per formula unit; mass density = 7.46 g/cm3
1.0
4.585 0.000 0.000
0.000 2.450 4.124
0.000 -2.450 4.124
Tc Sb As
1 2 1
Cartesian
0.000 0.000 0.000
0.000 0.000 3.033
2.293 0.000 6.576
2.293 0.000 1.113

No. 2
PBE-GGA YHfZrAs2, optimized geometry; ΔE_f = 0.21 eV/atom; total moment = 0.00 μB per formula unit; mass density = 6.23 g/cm3
1.0
5.110 0.000 0.000
0.000 5.110 0.000
0.000 0.000 5.190
Y Hf Zr As
1 1 1 2
Cartesian
0.000 0.000 0.000
2.555 2.555 2.595
2.555 2.555 0.000
0.000 2.555 2.595
2.555 0.000 2.595

No. 3
PBE-GGA HfTcRu, optimized geometry; excess energy over the best structure of this formula in the dataset = 17.6 kJ/mol of atoms; ΔE_f = -0.18 eV/atom; total moment = 0.00 μB per formula unit; mass density = 12.79 g/cm3
1.0
-1.605 1.605 4.759
1.605 -1.605 4.759
1.605 1.605 -4.759
Hf Tc Ru
1 1 1
Cartesian
0.000 0.000 0.000
0.000 0.000 3.171
0.000 0.000 6.340

No. 4
PBE-GGA Hf3SN3, optimized geometry; DFT total energy = -10.0510 eV/atom; total moment = 0.00 μB per formula unit; mass density = 9.59 g/cm3
1.0
3.101 1.791 6.336
-3.101 1.791 6.336
0.000 -3.581 6.336
Hf S N
6 2 6
Cartesian
-2.085 -0.010 7.634
-1.034 -1.811 11.373
1.051 -1.801 7.634
-1.051 1.801 11.373
1.034 1.811 7.634
2.085 0.010 11.373
0.000 0.000 3.181
0.000 0.000 15.826
-0.997 -1.762 7.213
-2.025 -0.018 11.794
-1.028 1.744 7.213
1.028 -1.744 11.794
2.025 0.018 7.213
0.997 1.762 11.794

No. 5
PBE-GGA PmSm2Pb9, optimized geometry; ΔE_f = -0.35 eV/atom; total moment = 0.00 μB per formula unit; mass density = 10.79 g/cm3
1.0
4.912 0.000 0.000
0.000 4.912 0.000
0.000 0.000 14.739
Pm Sm Pb
1 2 9
Cartesian
0.000 0.000 0.000
0.000 0.000 4.916
0.000 0.000 9.823
0.000 2.456 2.464
0.000 2.456 7.370
0.000 2.456 12.275
2.456 0.000 2.464
2.456 0.000 7.370
2.456 0.000 12.275
2.456 2.456 0.000
2.456 2.456 4.917
2.456 2.456 9.822

No. 6
PBE-GGA LaPmPr3Th, optimized geometry; ΔE_f = 0.03 eV/atom; total moment = 0.00 μB per formula unit; mass density = 7.34 g/cm3
1.0
8.261 0.000 0.000
0.000 5.199 0.000
-3.252 0.000 9.885
La Pm Pr Th
2 2 6 2
Cartesian
0.537 1.300 2.936
4.472 3.900 6.949
1.288 3.900 8.592
3.720 1.300 1.293
-1.148 1.300 7.829
1.286 3.900 0.457
-0.273 3.900 5.374
5.282 1.300 4.511
3.722 1.300 9.428
6.157 3.900 2.056
2.110 1.300 6.129
2.899 3.900 3.756

No. 7
PBE-GGA Sc2TcMo, optimized geometry; excess energy over the best structure of this formula in the dataset = 30.5 kJ/mol of atoms; ΔE_f = 0.19 eV/atom; total moment = 0.00 μB per formula unit; mass density = 6.58 g/cm3
1.0
2.816 0.000 0.000
0.000 2.816 0.000
0.000 0.000 9.036
Sc Tc Mo
2 1 1
Cartesian
0.000 0.000 2.200
0.000 0.000 6.836
1.408 1.408 0.000
1.408 1.408 4.518

No. 8
PBE-GGA Na2InHPb, optimized geometry; excess energy over the best structure of this formula in the dataset = 0.0 kJ/mol of atoms; total moment = 0.00 μB per formula unit; mass density = 5.55 g/cm3
1.0
4.580 0.000 0.000
0.000 4.580 0.000
0.000 0.000 5.267
Na In H Pb
2 1 1 1
Cartesian
0.000 2.290 0.000
2.290 0.000 0.000
0.000 0.000 2.634
0.000 0.000 0.000
2.290 2.290 2.634

No. 9
PBE-GGA Pm4SmBi5, optimized geometry; ΔE_f = -0.94 eV/atom; total moment = 0.00 μB per formula unit; mass density = 8.71 g/cm3
1.0
-2.287 2.287 16.164
2.287 -2.287 16.164
2.287 2.287 -16.164
Pm Sm Bi
4 1 5
Cartesian
0.000 0.000 3.231
0.000 0.000 9.702
0.000 0.000 22.626
0.000 0.000 29.097
0.000 0.000 16.164
0.000 0.000 0.000
0.000 0.000 6.466
0.000 0.000 12.939
0.000 0.000 19.388
0.000 0.000 25.862

No. 10
PBE-GGA U3AlTl3Se8, optimized geometry; DFT total energy = -5.6968 eV/atom; total moment = 7.92 μB per formula unit; mass density = 7.18 g/cm3
1.0
4.098 2.366 7.899
-4.098 2.366 7.899
0.000 -4.732 7.899
U Al Tl Se
3 1 3 8
Cartesian
-2.049 -1.183 7.899
-2.049 1.183 15.799
0.000 2.366 7.899
0.000 0.000 0.000
-4.098 0.000 11.849
-2.049 1.183 3.950
2.049 1.183 3.950
0.000 -2.535 9.396
-2.196 1.268 9.396
-2.196 -1.268 14.302
0.000 0.000 6.255
0.000 0.000 17.443
2.196 1.268 9.396
2.196 -1.268 14.302
0.000 2.535 14.302

No. 11
PBE-GGA CsSc2CuCl8, optimized geometry; DFT total energy = -4.4284 eV/atom; total moment = 0.12 μB per formula unit; mass density = 2.58 g/cm3
1.0
3.318 1.916 9.610
-3.318 1.916 9.610
0.000 -3.832 9.610
Cs Sc Cu Cl
1 2 1 8
Cartesian
0.000 0.000 0.000
0.000 0.000 6.836
0.000 0.000 21.995
0.000 0.000 14.416
-2.081 0.028 12.926
-1.064 -1.788 15.905
0.000 0.000 9.183
1.017 -1.816 12.926
-1.017 1.816 15.905
0.000 0.000 19.649
1.064 1.788 12.926
2.081 -0.028 15.905

No. 12
PBE-GGA TiAl2Ir, optimized geometry; ΔE_f = -0.60 eV/atom; total moment = 1.31 μB per formula unit; mass density = 8.29 g/cm3
1.0
0.000 3.088 3.088
3.088 0.000 3.088
3.088 3.088 0.000
Ti Al Ir
1 2 1
Cartesian
0.000 0.000 0.000
1.544 1.544 1.544
4.632 4.632 4.632
3.088 3.088 3.088

No. 13
PBE-GGA NiRu2Rh, optimized geometry; excess energy over the best structure of this formula in the dataset = 4.9 kJ/mol of atoms; ΔE_f = 0.12 eV/atom; total moment = 0.00 μB per formula unit; mass density = 11.31 g/cm3
1.0
2.677 0.000 0.000
0.000 3.778 0.000
0.000 0.000 5.282
Ni Ru Rh
1 2 1
Cartesian
0.000 0.000 0.000
1.339 1.889 1.252
1.339 1.889 4.030
0.000 0.000 2.641

No. 14
PBE-GGA Be2CdAs, optimized geometry; excess energy over the best structure of this formula in the dataset = 37.0 kJ/mol of atoms; ΔE_f = 0.58 eV/atom; total moment = 0.00 μB per formula unit; mass density = 5.77 g/cm3
1.0
2.853 0.000 0.000
0.000 2.853 0.000
0.000 0.000 7.263
Be Cd As
2 1 1
Cartesian
0.000 0.000 1.747
0.000 0.000 5.516
1.427 1.427 3.631
1.427 1.427 0.000

No. 15
PBE-GGA Tb4Sb2Se, optimized geometry; DFT total energy = -5.3029 eV/atom; total moment = 0.00 μB per formula unit; mass density = 7.74 g/cm3
1.0
7.602 0.000 0.000
0.000 6.525 0.000
-3.585 0.000 8.286
Tb Sb Se
8 4 2
Cartesian
0.796 1.631 0.781
0.065 4.894 2.997
-0.535 0.014 6.415
-0.535 3.248 6.415
4.551 3.277 1.872
4.551 6.511 1.872
3.952 1.631 5.289
3.221 4.894 7.505
-0.894 1.631 3.595
2.031 4.894 0.609
1.986 1.631 7.678
4.911 4.894 4.691
1.495 4.894 5.305
2.522 1.631 2.982

No. 16
PBE-GGA BaHf3Be, optimized geometry; excess energy over the best structure of this formula in the dataset = 0.0 kJ/mol of atoms; ΔE_f = 0.67 eV/atom; total moment = 0.00 μB per formula unit; mass density = 9.32 g/cm3
1.0
4.953 0.000 0.000
0.000 4.953 0.000
0.000 0.000 4.953
Ba Hf Be
1 3 1
Cartesian
0.000 0.000 0.000
0.000 2.477 2.477
2.477 0.000 2.477
2.477 2.477 0.000
2.477 2.477 2.477

No. 17
PBE-GGA CaTlPdSeF, optimized geometry; excess energy over the best structure of this formula in the dataset = 6.6 kJ/mol of atoms; total moment = 0.00 μB per formula unit; mass density = 5.32 g/cm3
1.0
4.487 0.000 0.000
-0.065 4.591 0.000
-2.180 -2.302 6.799
Ca Tl Pd Se F
1 1 1 1 1
Cartesian
0.000 0.000 0.000
2.243 -0.008 4.038
2.208 2.288 2.548
-0.035 2.296 1.771
-0.002 2.290 6.351

No. 18
PBE-GGA CsBe2ZnB, optimized geometry; ΔE_f = 0.92 eV/atom; total moment = 0.00 μB per formula unit; mass density = 4.14 g/cm3
1.0
4.070 0.000 0.000
0.000 4.070 0.000
0.000 0.000 5.497
Cs Be Zn B
1 2 1 1
Cartesian
0.000 0.000 0.000
0.000 2.035 2.749
2.035 0.000 2.749
2.035 2.035 0.000
2.035 2.035 2.749

No. 19
PBE-GGA Sm12Y5Tm, optimized geometry; ΔE_f = 0.02 eV/atom; total moment = 0.00 μB per formula unit; mass density = 6.74 g/cm3
1.0
10.800 0.000 0.000
0.000 5.101 0.000
-0.025 0.000 10.816
Sm Y Tm
12 5 1
Cartesian
10.795 0.000 1.800
-0.020 0.000 9.016
1.785 2.550 7.214
1.811 2.550 0.002
3.589 0.000 5.410
3.591 0.000 9.025
5.389 2.550 3.595
5.386 2.550 7.221
7.183 0.000 1.791
7.185 0.000 5.406
8.963 2.550 10.814
8.989 2.550 3.602
-0.013 0.000 5.408
1.790 2.550 3.607
3.602 0.000 1.796
7.172 0.000 9.020
8.984 2.550 7.209
5.400 2.550 0.000

No. 20
PBE-GGA KSi, optimized geometry; excess energy over the best structure of this formula in the dataset = 14.7 kJ/mol of atoms; total moment = 0.00 μB per formula unit; mass density = 1.71 g/cm3
1.0
3.818 -5.025 0.000
3.818 5.025 0.000
-1.946 0.000 3.401
K Si
2 2
Cartesian
3.818 3.205 0.000
3.818 -3.205 0.000
0.896 0.000 2.768
2.992 0.000 1.711